No. 1
## CrFeHg2 (PBE-GGA)

Data for CrFeHg2 after structural relaxation.

Output
Energy of formation from the pure elements: 789.7 meV/atom
Total moment: 13.3 μB/cell
Theoretical density: 10.67 Mg/m³

Cell: 5.976 5.976 5.976 Å, 103.69 103.69 121.77°
Positions (direct):
Cr 0.000 0.000 0.000
Cr 0.750 0.250 0.500
Fe 0.250 0.750 0.500
Fe 0.500 0.500 0.000
Hg 0.140 0.125 0.515
Hg 0.375 0.860 0.985
Hg 0.610 0.625 0.485
Hg 0.875 0.390 0.015



No. 2
## CrFe2Hg (PBE-GGA)

Data for CrFe2Hg after structural relaxation.

Output
Energy of formation from the pure elements: 522.6 meV/atom
Total moment: 1.7 μB/cell
Theoretical density: 10.44 Mg/m³

Cell: 4.695 4.695 2.787 Å, 90.00 90.00 109.45°
Positions (direct):
Cr 0.000 0.000 0.000
Fe 0.000 0.500 0.500
Fe 0.500 0.000 0.500
Hg 0.500 0.500 0.000



No. 3
## CrFe2Hg (PBE-GGA)

Data for CrFe2Hg after structural relaxation.

Output
Energy of formation from the pure elements: 495.4 meV/atom
Total moment: 3.1 μB/cell
Theoretical density: 10.56 Mg/m³

Cell: 8.473 8.473 8.473 Å, 19.16 19.16 19.16°
Positions (direct):
Cr 0.000 0.000 0.000
Fe 0.262 0.262 0.262
Fe 0.738 0.738 0.738
Hg 0.500 0.500 0.500



No. 4
## CrFeHg2 (PBE-GGA)

Data for CrFeHg2 after structural relaxation.

Output
Energy of formation from the pure elements: 710.6 meV/atom
Total moment: 6.2 μB/cell
Theoretical density: 11.88 Mg/m³

Cell: 4.651 4.651 4.651 Å, 60.00 60.00 60.00°
Positions (direct):
Cr 0.000 0.000 0.000
Fe 0.250 0.250 0.250
Hg 0.500 0.500 0.500
Hg 0.750 0.750 0.750



No. 5
## CrFe2Hg (PBE-GGA)

Data for CrFe2Hg after structural relaxation.

Output
Energy of formation from the pure elements: 455.5 meV/atom
Total moment: 4.2 μB/cell
Theoretical density: 10.67 Mg/m³

Cell: 2.667 2.667 8.306 Å, 90.00 90.00 106.29°
Positions (direct):
Cr 0.000 0.000 0.000
Fe 0.500 0.500 0.217
Fe 0.500 0.500 0.783
Hg 0.000 0.000 0.500



No. 6
## CrFe2Hg (PBE-GGA)

Data for CrFe2Hg after structural relaxation.

Output
Energy of formation from the pure elements: 423.4 meV/atom
Total moment: 1.6 μB/cell
Theoretical density: 10.48 Mg/m³

Cell: 4.759 4.759 4.759 Å, 133.23 131.46 69.70°
Positions (direct):
Cr 0.000 0.000 0.000
Fe 0.263 0.763 0.500
Fe 0.492 0.492 0.000
Hg 0.746 0.246 0.500



No. 7
## CrFe2Hg2 (PBE-GGA)

Data for CrFe2Hg2 after structural relaxation.

Output
Energy of formation from the pure elements: 1152.3 meV/atom
Total moment: 0.5 μB/cell
Theoretical density: 11.74 Mg/m³

Cell: 7.520 7.520 2.826 Å, 90.00 90.00 90.00°
Positions (direct):
Cr 0.000 0.000 0.000
Cr 0.500 0.500 0.000
Fe 0.105 0.395 0.500
Fe 0.395 0.895 0.500
Fe 0.605 0.105 0.500
Fe 0.895 0.605 0.500
Hg 0.188 0.688 0.000
Hg 0.312 0.188 0.000
Hg 0.688 0.812 0.000
Hg 0.812 0.312 0.000



No. 8
## CrFe2Hg (PBE-GGA)

Data for CrFe2Hg after structural relaxation.

Output
Energy of formation from the pure elements: 796.1 meV/atom
Total moment: 0.0 μB/cell
Theoretical density: 10.59 Mg/m³

Cell: 5.344 5.344 5.344 Å, 104.28 104.28 120.45°
Positions (direct):
Cr 0.000 0.000 0.000
Cr 0.750 0.250 0.500
Fe 0.067 0.625 0.942
Fe 0.375 0.317 0.442
Fe 0.683 0.125 0.058
Fe 0.875 0.933 0.558
Hg 0.250 0.750 0.500
Hg 0.500 0.500 0.000



No. 9
## CrFe2Hg (PBE-GGA)

Data for CrFe2Hg after structural relaxation.

Output
Energy of formation from the pure elements: 434.9 meV/atom
Total moment: 1.6 μB/cell
Theoretical density: 10.39 Mg/m³

Cell: 4.716 4.716 4.638 Å, 105.04 105.04 35.92°
Positions (direct):
Cr 0.000 0.000 0.000
Fe 0.256 0.256 0.798
Fe 0.536 0.536 0.577
Hg 0.771 0.771 0.307



No. 10
## CrFeHg2 (PBE-GGA)

Data for CrFeHg2 after structural relaxation.

Output
Energy of formation from the pure elements: 591.3 meV/atom
Total moment: 6.5 μB/cell
Theoretical density: 11.49 Mg/m³

Cell: 4.827 3.053 5.427 Å, 90.00 113.12 90.00°
Positions (direct):
Cr 0.000 0.000 0.000
Fe 0.000 0.500 0.500
Hg 0.500 0.000 0.500
Hg 0.500 0.500 0.000



No. 11
## CrFe2Hg (PBE-GGA)

Data for CrFe2Hg after structural relaxation.

Output
Energy of formation from the pure elements: 504.1 meV/atom
Total moment: 3.8 μB/cell
Theoretical density: 10.40 Mg/m³

Cell: 8.677 8.677 8.677 Å, 18.61 18.61 18.61°
Positions (direct):
Cr 0.000 0.000 0.000
Fe 0.478 0.478 0.478
Fe 0.738 0.738 0.738
Hg 0.238 0.238 0.238



No. 12
## CrFeHg2 (PBE-GGA)

Data for CrFeHg2 after structural relaxation.

Output
Energy of formation from the pure elements: 611.6 meV/atom
Total moment: 6.6 μB/cell
Theoretical density: 11.45 Mg/m³

Cell: 4.765 4.765 5.458 Å, 99.87 99.87 37.28°
Positions (direct):
Cr 0.000 0.000 0.000
Fe 0.500 0.500 0.500
Hg 0.249 0.249 0.744
Hg 0.751 0.751 0.256



Copy entry 6 word for word.
## CrFe2Hg (PBE-GGA)

Data for CrFe2Hg after structural relaxation.

Output
Energy of formation from the pure elements: 423.4 meV/atom
Total moment: 1.6 μB/cell
Theoretical density: 10.48 Mg/m³

Cell: 4.759 4.759 4.759 Å, 133.23 131.46 69.70°
Positions (direct):
Cr 0.000 0.000 0.000
Fe 0.263 0.763 0.500
Fe 0.492 0.492 0.000
Hg 0.746 0.246 0.500



Q: What is the total moment in the sixth record?
A: 1.6 μB/cell